1.
Here is KCo2Pb after structural relaxation from the Alexandria database. Energies are from PBE.

Computed properties:
Calculated density: 5.4 g cm⁻³
Space group: P2/m (10)
DOS(E_F): 0.96 states/eV/atom
Offset from the most stable computed form: 293.3 meV/atom
Formation energy: 0.6467 eV/atom

a = 3.564 Å, b = 4.796 Å, c = 6.559 Å
α = 90.00°, β = 93.81°, γ = 90.00°
Element x y z (fractional)
K1 0.000 0.000 0.000
Co1 0.259 0.500 0.598
Co2 0.741 0.500 0.402
Pb1 0.500 0.000 0.500

***

2.
Here is AgSb2Se after structural relaxation from the Alexandria database. Energies are from PBE.

Computed properties:
Calculated density: 6.4 g cm⁻³
Space group: P4mm (99)
DOS(E_F): 0.28 states/eV/atom
ΔE_f (raw): 0.031 eV/atom

a = 4.022 Å, b = 4.022 Å, c = 6.930 Å
α = 90.00°, β = 90.00°, γ = 90.00°
Element x y z (fractional)
Ag1 0.000 0.000 0.000
Sb1 0.000 0.000 0.595
Sb2 0.500 0.500 0.450
Se1 0.500 0.500 0.076

***

3.
Here is Mg3Sc after structural relaxation from the Alexandria database. Energies are from PBE.

Computed properties:
Calculated density: 2.1 g cm⁻³
Space group: P2/m (10)
DOS(E_F): 0.72 states/eV/atom
Formation energy: -0.0051 eV/atom

a = 3.111 Å, b = 4.957 Å, c = 6.130 Å
α = 90.00°, β = 102.05°, γ = 90.00°
Element x y z (fractional)
Mg1 0.000 0.000 0.000
Mg2 0.181 0.500 0.752
Mg3 0.819 0.500 0.248
Sc1 0.500 0.000 0.500

***

4.
Here is TbHo5Ir6 after structural relaxation from the Alexandria database. Energies are from PBE.

Computed properties:
Calculated density: 14.9 g cm⁻³
Space group: P2/m (10)
DOS(E_F): 0.30 states/eV/atom
Formation energy: -0.8390 eV/atom

a = 4.718 Å, b = 7.144 Å, c = 7.466 Å
α = 90.00°, β = 108.35°, γ = 90.00°
Element x y z (fractional)
Tb1 0.000 0.000 0.000
Ho1 0.000 0.500 0.000
Ho2 0.333 0.000 0.666
Ho3 0.333 0.500 0.666
Ho4 0.667 0.000 0.334
Ho5 0.667 0.500 0.334
Ir1 0.167 0.251 0.334
Ir2 0.167 0.749 0.334
Ir3 0.500 0.252 0.000
Ir4 0.500 0.748 0.000
Ir5 0.833 0.251 0.666
Ir6 0.833 0.749 0.666

***

Q: Among the records above, which one has the lowest DOS(E_F)?
A: AgSb2Se